Record 1
A plane-wave DFT calculation with PBE was carried out for a relaxed structure of BeOs3.

The structure in POSCAR format:
```
BeOs3
1.0
-4.0558 -0.0930 1.3023
-1.3882 -0.8566 -4.3847
0.4074 -5.2402 0.8948
Be Os
2 6
direct
0.0000 0.6557 0.0000
0.5000 0.3443 0.5000
0.5000 0.3545 0.0000
0.0000 0.6455 0.5000
0.0000 0.1594 0.2579
0.0000 0.1594 0.7421
0.5000 0.8406 0.7579
0.5000 0.8406 0.2421
```

Space-group type = Pmmn, No. 59
Excess energy over the best structure of this formula in the dataset = 191 meV per atom
Formation enthalpy at 0 K = 0.18 eV per atom
Total energy = -9.171 eV per atom

Record 2
A plane-wave DFT calculation with PBE was carried out for a relaxed structure of Be2Os.

The structure in POSCAR format:
```
Be2Os
1.0
10.9676 0.0531 0.0000
9.8906 4.7400 0.0000
-10.4291 -2.3966 2.4045
Be Os
8 4
direct
0.7495 0.7495 0.0000
0.2505 0.2505 0.0000
0.9995 0.4995 0.5000
0.5005 0.0005 0.5000
0.5893 0.5893 0.0000
0.4107 0.4107 0.0000
0.8393 0.3393 0.5000
0.6607 0.1607 0.5000
0.9287 0.9287 0.0000
0.0713 0.0713 0.0000
0.1787 0.6787 0.5000
0.3213 0.8213 0.5000
```

Space-group type = I4_1/amd, No. 141
Excess energy over the best structure of this formula in the dataset = 116 meV per atom
Formation enthalpy at 0 K = -0.16 eV per atom
Total energy = -6.388 eV per atom

Mass density, record by record: 18.1; 11.2 g/cm3